A plane-wave DFT calculation with PBE was carried out for BeGaH3 after structural relaxation.

Crystal system = triclinic
Total magnetic moment = 0.0 μB per cell
Offset from the most stable computed form = 0.0000 eV/atom
N(E_F) = 0.00 states/eV per cell

extended XYZ file:
```
5
Lattice="0.1016 0.6028 -2.4066 3.6864 -3.0114 -1.8235 -2.7976 -2.9106 -0.8494" Properties=species:S:1:pos:R:3 pbc="T T T"
H 0.4494 -4.7575 -2.5774
Be 2.3865 -2.9636 -2.0426
H 2.7311 -3.4064 -3.4197
Ga -0.5456 -3.3120 -2.2517
H 1.0185 -2.4665 -1.9779
```